(1)
Compound: EuGdDyCd
Source: the Alexandria database
Functional: PBE
Structure: relaxed

Lattice parameters (Å, degrees): 7.8191 7.8191 7.8191 90.00 90.00 90.00
Space group F-43m (No. 216)
Asymmetric unit:
Eu 0.0000 0.0000 0.0000
Gd 0.2500 0.2500 0.2500
Dy 0.2500 0.2500 0.7500
Cd 0.0000 0.0000 0.5000

Calculated values
* formation energy from the elements: -11 meV/atom
* energy: -7.479 eV per atom
* Fermi-level density of states: 1.00 states/eV/atom

(2)
Compound: Tb2AlBiO6
Source: the Alexandria database
Functional: PBE
Structure: relaxed

Lattice parameters (Å, degrees): 5.2939 5.2939 5.3110 90.00 90.00 90.00
Space group P4mm (No. 99)
Asymmetric unit:
Tb 0.0000 0.5000 0.0000
Al 0.0000 0.0000 0.6201
Bi 0.5000 0.5000 0.5632
O 0.0000 0.0000 0.2809
O 0.2316 0.2316 0.7592
O 0.5000 0.5000 0.1321

Calculated values
* raw formation energy: -2476 kJ/mol of formula units
* energy: -7.229 eV per atom
* Fermi-level density of states: 0.00 states/eV/atom